1.
The following is a meta-GGA SCAN calculation of a crystal of TcSbTe2Ir relaxed with PBEsol, from the Alexandria database.

Structure (POSCAR):
```
TcSbTe2Ir
1.0
-0.471 -4.819 1.139
4.932 -0.595 -0.478
0.599 1.084 4.835
Ir Tc Sb Te
1 1 1 2
Direct
0.500 0.500 0.500 Ir
0.000 0.000 0.000 Tc
0.500 0.000 0.000 Sb
0.000 0.500 0.000 Te
0.000 0.000 0.500 Te
```

Summary:
Density of states at the Fermi level (states/eV per atom): 0.823
Formation energy from raw total energies (eV per formula unit): 6.33
Crystal system: tetragonal



2.
The following is a meta-GGA SCAN calculation of a crystal of ReW2Au relaxed with PBEsol, from the Alexandria database.

Structure (POSCAR):
```
ReW2Au
1.0
2.708 0.006 0.000
-0.844 2.573 0.000
0.000 0.000 9.014
Au Re W
1 1 2
Direct
0.000 0.000 0.501 Au
0.500 0.500 0.239 Re
0.000 0.000 0.002 W
0.500 0.500 0.759 W
```

Summary:
Offset from the most stable computed form (kJ/mol of formula units): 8
Density of states at the Fermi level (states/eV per atom): 0.509
Crystal system: orthorhombic



3.
The following is a meta-GGA SCAN calculation of a crystal of Zn2As relaxed with PBEsol, from the Alexandria database.

Structure (POSCAR):
```
Zn2As
1.0
-1.282 -3.047 -1.378
-1.212 -0.934 3.193
-2.147 3.766 -1.677
Zn As
2 1
Direct
0.338 0.338 0.676 Zn
0.662 0.662 0.324 Zn
0.000 0.000 0.000 As
```

Summary:
Offset from the most stable computed form (kJ/mol of formula units): 0
Density of states at the Fermi level (states/eV per atom): 0.385
Crystal system: orthorhombic



4.
The following is a meta-GGA SCAN calculation of a crystal of LiHf3Te relaxed with PBEsol, from the Alexandria database.

Structure (POSCAR):
```
LiHf3Te
1.0
-2.477 -2.394 3.908
-1.543 -3.747 -3.274
4.315 -2.714 1.072
Hf Te Li
3 1 1
Direct
0.000 0.500 0.000 Hf
0.500 0.000 0.000 Hf
0.000 0.000 0.500 Hf
0.000 0.000 0.000 Te
0.500 0.500 0.500 Li
```

Summary:
Density of states at the Fermi level (states/eV per atom): 0.648
Formation energy from raw total energies (eV per formula unit): 4.68
Crystal system: cubic



5.
The following is a meta-GGA SCAN calculation of a crystal of Fe4Tc3 relaxed with PBEsol, from the Alexandria database.

Structure (POSCAR):
```
Fe4Tc3
1.0
-0.111 1.183 2.606
1.859 -1.953 0.966
7.050 6.679 -4.306
Tc Fe
3 4
Direct
0.710 0.710 0.419 Tc
0.290 0.290 0.581 Tc
0.000 0.000 0.000 Tc
0.135 0.135 0.271 Fe
0.427 0.427 0.855 Fe
0.573 0.573 0.145 Fe
0.865 0.865 0.729 Fe
```

Summary:
Density of states at the Fermi level (states/eV per atom): 0.736
Crystal system: tetragonal
Electronic total energy (eV/atom): -25.37



6.
The following is a meta-GGA SCAN calculation of a crystal of NiPdO2 relaxed with PBEsol, from the Alexandria database.

Structure (POSCAR):
```
NiPdO2
1.0
-1.241 0.212 2.821
-0.438 -2.548 1.690
4.624 -0.187 3.739
O Ni Pd
2 1 1
Direct
0.896 0.896 0.311 O
0.104 0.104 0.689 O
0.000 0.000 0.000 Ni
0.500 0.500 0.500 Pd
```

Summary:
Density of states at the Fermi level (states/eV per atom): 0.506
Formation energy from raw total energies (eV per formula unit): -1.81
Crystal system: trigonal



7.
The following is a meta-GGA SCAN calculation of a crystal of AlCoPt2 relaxed with PBEsol, from the Alexandria database.

Structure (POSCAR):
```
AlCoPt2
1.0
3.868 0.000 0.000
0.000 3.868 0.000
-1.934 -1.934 3.595
Co Al Pt
1 1 2
Direct
0.000 0.000 0.000 Co
0.500 0.500 0.000 Al
0.750 0.250 0.500 Pt
0.250 0.750 0.500 Pt
```

Summary:
Density of states at the Fermi level (states/eV per atom): 0.272
Crystal system: tetragonal
Electronic total energy (eV/atom): -42.17



8.
The following is a meta-GGA SCAN calculation of a crystal of BaTlH3 relaxed with PBEsol, from the Alexandria database.

Structure (POSCAR):
```
BaTlH3
1.0
-0.882 -0.854 4.746
1.797 -4.535 -0.483
4.475 1.653 1.129
H Ba Tl
3 1 1
Direct
0.000 0.500 0.000 H
0.000 0.000 0.500 H
0.500 0.000 0.000 H
0.000 0.000 0.000 Ba
0.500 0.500 0.500 Tl
```

Summary:
Crystal system: cubic
Electronic total energy (eV/atom): -24.36



9.
The following is a meta-GGA SCAN calculation of a crystal of SrTeSe2 relaxed with PBEsol, from the Alexandria database.

Structure (POSCAR):
```
SrTeSe2
1.0
-2.463 2.905 -1.961
-1.029 -2.891 -2.989
-4.813 -1.792 3.390
Sr Se Te
1 2 1
Direct
0.000 0.000 0.375 Sr
0.500 0.500 0.375 Se
0.000 0.000 0.875 Se
0.500 0.500 0.875 Te
```

Summary:
Density of states at the Fermi level (states/eV per atom): 0.259
Formation energy from raw total energies (eV per formula unit): -4.41
Crystal system: tetragonal



10.
The following is a meta-GGA SCAN calculation of a crystal of KAgPt2 relaxed with PBEsol, from the Alexandria database.

Structure (POSCAR):
```
KAgPt2
1.0
2.734 0.000 0.000
0.000 5.224 0.000
-1.367 -2.612 5.407
Ag K Pt
1 1 2
Direct
0.534 0.534 0.069 Ag
0.745 0.245 0.491 K
0.257 0.757 0.514 Pt
0.963 0.963 0.926 Pt
```

Summary:
Density of states at the Fermi level (states/eV per atom): 0.501
Crystal system: orthorhombic
Electronic total energy (eV/atom): -44.87



11.
The following is a meta-GGA SCAN calculation of a crystal of CoRuPt2 relaxed with PBEsol, from the Alexandria database.

Structure (POSCAR):
```
CoRuPt2
1.0
-2.282 1.216 -0.712
-0.605 -2.070 -1.596
-3.548 -3.337 5.672
Pt Co Ru
2 1 1
Direct
0.000 0.000 0.741 Pt
0.000 0.000 0.259 Pt
0.500 0.500 0.500 Co
0.500 0.500 0.000 Ru
```

Summary:
Offset from the most stable computed form (kJ/mol of formula units): 13
Density of states at the Fermi level (states/eV per atom): 0.861
Crystal system: tetragonal



12.
The following is a meta-GGA SCAN calculation of a crystal of MoWC relaxed with PBEsol, from the Alexandria database.

Structure (POSCAR):
```
MoWC
1.0
3.034 0.000 0.000
-1.517 2.628 0.000
0.000 0.000 4.630
C W Mo
1 1 1
Direct
0.000 0.000 0.999 C
0.667 0.333 0.253 W
0.333 0.667 0.748 Mo
```

Summary:
Density of states at the Fermi level (states/eV per atom): 0.447
Crystal system: trigonal
Electronic total energy (eV/atom): -38.17



13.
The following is a meta-GGA SCAN calculation of a crystal of Be2AlP relaxed with PBEsol, from the Alexandria database.

Structure (POSCAR):
```
Be2AlP
1.0
2.496 0.000 0.000
0.000 3.285 0.000
0.000 0.000 5.937
P Be Al
1 2 1
Direct
0.000 0.000 0.423 P
0.500 0.500 0.240 Be
0.000 0.000 0.044 Be
0.500 0.500 0.792 Al
```

Summary:
Offset from the most stable computed form (kJ/mol of formula units): 39
Density of states at the Fermi level (states/eV per atom): 0.270
Crystal system: orthorhombic



14.
The following is a meta-GGA SCAN calculation of a crystal of MnAgMo2Pd relaxed with PBEsol, from the Alexandria database.

Structure (POSCAR):
```
MnAgMo2Pd
1.0
4.660 0.000 0.000
0.000 4.660 0.000
0.000 0.000 4.850
Pd Mo Ag Mn
1 2 1 1
Direct
0.000 0.000 0.000 Pd
0.000 0.500 0.000 Mo
0.500 0.000 0.000 Mo
0.000 0.000 0.500 Ag
0.500 0.500 0.500 Mn
```

Summary:
Density of states at the Fermi level (states/eV per atom): 0.803
Crystal system: tetragonal
Electronic total energy (eV/atom): -28.81



15.
The following is a meta-GGA SCAN calculation of a crystal of MoRuSe3 relaxed with PBEsol, from the Alexandria database.

Structure (POSCAR):
```
MoRuSe3
1.0
4.815 0.000 0.000
0.000 4.815 0.000
0.000 0.000 4.815
Mo Ru Se
1 1 3
Direct
0.000 0.000 0.000 Mo
0.500 0.500 0.500 Ru
0.500 0.000 0.000 Se
0.000 0.000 0.500 Se
0.000 0.500 0.000 Se
```

Summary:
Density of states at the Fermi level (states/eV per atom): 0.912
Formation energy from raw total energies (eV per formula unit): 4.60
Crystal system: cubic



16.
The following is a meta-GGA SCAN calculation of a crystal of BaCu4O4 relaxed with PBEsol, from the Alexandria database.

Structure (POSCAR):
```
BaCu4O4
1.0
-6.115 -0.063 -2.063
-0.920 -5.578 2.896
-1.811 3.038 5.276
Cu O Ba
8 8 2
Direct
0.500 0.750 0.750 Cu
0.711 0.000 0.500 Cu
0.711 0.500 0.000 Cu
0.500 0.250 0.750 Cu
0.289 0.000 0.500 Cu
0.289 0.500 0.000 Cu
0.500 0.750 0.250 Cu
0.500 0.250 0.250 Cu
0.232 0.302 0.802 O
0.768 0.198 0.698 O
0.232 0.698 0.198 O
0.768 0.302 0.198 O
0.768 0.802 0.302 O
0.768 0.698 0.802 O
0.232 0.198 0.302 O
0.232 0.802 0.698 O
0.000 0.000 0.000 Ba
0.000 0.500 0.500 Ba
```

Summary:
Density of states at the Fermi level (states/eV per atom): 0.472
Formation energy from raw total energies (eV per formula unit): -10.00
Crystal system: tetragonal



17.
The following is a meta-GGA SCAN calculation of a crystal of Ti3BOs relaxed with PBEsol, from the Alexandria database.

Structure (POSCAR):
```
Ti3BOs
1.0
-0.475 3.621 -1.982
1.211 -1.785 -3.552
-3.947 -0.984 -0.851
Ti B Os
3 1 1
Direct
0.500 0.000 0.000 Ti
0.000 0.500 0.000 Ti
0.000 0.000 0.500 Ti
0.000 0.000 0.000 B
0.500 0.500 0.500 Os
```

Summary:
Density of states at the Fermi level (states/eV per atom): 0.856
Crystal system: cubic
Electronic total energy (eV/atom): -25.63



18.
The following is a meta-GGA SCAN calculation of a crystal of Cu2AsPt relaxed with PBEsol, from the Alexandria database.

Structure (POSCAR):
```
Cu2AsPt
1.0
2.893 0.000 0.110
0.000 3.638 0.000
-0.198 0.000 5.151
Cu Pt As
2 1 1
Direct
0.000 0.000 0.749 Cu
0.000 0.000 0.251 Cu
0.500 0.500 0.000 Pt
0.500 0.500 0.500 As
```

Summary:
Density of states at the Fermi level (states/eV per atom): 0.460
Crystal system: orthorhombic
Electronic total energy (eV/atom): -30.26



19.
The following is a meta-GGA SCAN calculation of a crystal of Ta3HRu relaxed with PBEsol, from the Alexandria database.

Structure (POSCAR):
```
Ta3HRu
1.0
-0.555 2.641 -3.086
-2.369 -2.740 -1.919
-3.299 1.524 1.897
H Ta Ru
1 3 1
Direct
0.000 0.000 0.000 H
0.500 0.000 0.000 Ta
0.000 0.000 0.500 Ta
0.000 0.500 0.000 Ta
0.500 0.500 0.500 Ru
```

Summary:
Density of states at the Fermi level (states/eV per atom): 0.881
Crystal system: cubic
Electronic total energy (eV/atom): -47.60



20.
The following is a meta-GGA SCAN calculation of a crystal of Hf2CdCuIr relaxed with PBEsol, from the Alexandria database.

Structure (POSCAR):
```
Hf2CdCuIr
1.0
4.526 0.000 0.000
0.000 4.695 0.000
0.000 0.000 4.695
Hf Cu Ir Cd
2 1 1 1
Direct
0.000 0.500 0.000 Hf
0.000 0.000 0.500 Hf
0.000 0.000 0.000 Cu
0.500 0.000 0.000 Ir
0.500 0.500 0.500 Cd
```

Summary:
Density of states at the Fermi level (states/eV per atom): 0.792
Crystal system: tetragonal
Electronic total energy (eV/atom): -47.95



21.
The following is a meta-GGA SCAN calculation of a crystal of Li2BrF relaxed with PBEsol, from the Alexandria database.

Structure (POSCAR):
```
Li2BrF
1.0
5.139 0.000 0.000
0.000 5.139 0.000
-2.570 -2.570 4.809
F Br Li
2 2 4
Direct
0.750 0.250 0.500 F
0.500 0.500 0.000 F
0.250 0.750 0.500 Br
0.000 0.000 0.000 Br
0.768 0.375 0.250 Li
0.625 0.518 0.750 Li
0.482 0.875 0.250 Li
0.125 0.232 0.750 Li
```

Summary:
Density of states at the Fermi level (states/eV per atom): 0.000
Formation energy from raw total energies (eV per formula unit): -9.39
Crystal system: tetragonal



22.
The following is a meta-GGA SCAN calculation of a crystal of MgTc2PtRh relaxed with PBEsol, from the Alexandria database.

Structure (POSCAR):
```
MgTc2PtRh
1.0
4.643 0.000 0.000
0.000 4.643 0.000
0.000 0.000 4.868
Tc Mg Pt Rh
2 1 1 1
Direct
0.000 0.500 0.000 Tc
0.500 0.000 0.000 Tc
0.500 0.500 0.500 Mg
0.000 0.000 0.000 Pt
0.000 0.000 0.500 Rh
```

Summary:
Density of states at the Fermi level (states/eV per atom): 1.276
Crystal system: tetragonal
Electronic total energy (eV/atom): -34.35



23.
The following is a meta-GGA SCAN calculation of a crystal of HfSc2FeP relaxed with PBEsol, from the Alexandria database.

Structure (POSCAR):
```
HfSc2FeP
1.0
4.616 0.000 0.000
0.000 4.620 0.000
0.000 0.000 4.620
Sc Hf Fe P
2 1 1 1
Direct
0.000 0.000 0.500 Sc
0.000 0.500 0.000 Sc
0.500 0.000 0.000 Hf
0.000 0.000 0.000 Fe
0.500 0.500 0.500 P
```

Summary:
Density of states at the Fermi level (states/eV per atom): 0.962
Crystal system: tetragonal
Electronic total energy (eV/atom): -23.87



24.
The following is a meta-GGA SCAN calculation of a crystal of LiPb2 relaxed with PBEsol, from the Alexandria database.

Structure (POSCAR):
```
LiPb2
1.0
-2.486 1.922 1.563
-3.854 -3.396 -1.953
0.658 -4.600 6.701
Pb Li
4 2
Direct
0.000 0.501 0.190 Pb
0.500 0.001 0.310 Pb
0.000 0.499 0.810 Pb
0.500 0.999 0.690 Pb
0.500 0.500 0.500 Li
0.000 0.000 0.000 Li
```

Summary:
Offset from the most stable computed form (kJ/mol of formula units): 3
Density of states at the Fermi level (states/eV per atom): 0.245
Crystal system: orthorhombic



25.
The following is a meta-GGA SCAN calculation of a crystal of BeCr2 relaxed with PBEsol, from the Alexandria database.

Structure (POSCAR):
```
BeCr2
1.0
2.345 0.000 0.000
0.000 3.884 0.000
0.000 -1.942 3.364
Cr Be
2 1
Direct
0.365 0.667 0.333 Cr
0.635 0.333 0.667 Cr
0.000 0.000 0.000 Be
```

Summary:
Density of states at the Fermi level (states/eV per atom): 0.298
Crystal system: trigonal
Electronic total energy (eV/atom): -13.74



26.
The following is a meta-GGA SCAN calculation of a crystal of LaSClO4 relaxed with PBEsol, from the Alexandria database.

Structure (POSCAR):
```
LaSClO4
1.0
-6.059 -2.873 0.026
3.460 -7.286 1.142
2.467 2.384 7.741
O La Cl S
16 4 4 4
Direct
0.336 0.412 0.123 O
0.867 0.344 0.873 O
0.836 0.088 0.623 O
0.985 0.814 0.613 O
0.695 0.917 0.372 O
0.015 0.186 0.387 O
0.805 0.417 0.128 O
0.485 0.686 0.113 O
0.164 0.912 0.377 O
0.305 0.083 0.628 O
0.367 0.156 0.373 O
0.633 0.844 0.627 O
0.515 0.314 0.887 O
0.195 0.583 0.872 O
0.664 0.588 0.877 O
0.133 0.656 0.127 O
0.890 0.696 0.274 La
0.610 0.196 0.226 La
0.110 0.304 0.726 La
0.390 0.804 0.774 La
0.740 0.465 0.471 Cl
0.240 0.035 0.971 Cl
0.260 0.535 0.529 Cl
0.760 0.965 0.029 Cl
0.288 0.583 0.065 S
0.212 0.083 0.435 S
0.788 0.917 0.565 S
0.712 0.417 0.935 S
```

Summary:
Density of states at the Fermi level (states/eV per atom): 0.000
Formation energy from raw total energies (eV per formula unit): -17.63
Crystal system: monoclinic



27.
The following is a meta-GGA SCAN calculation of a crystal of TaTc2As relaxed with PBEsol, from the Alexandria database.

Structure (POSCAR):
```
TaTc2As
1.0
-2.893 -0.710 -0.529
2.822 -2.346 -3.628
-0.203 -2.092 3.918
Tc Ta As
2 1 1
Direct
0.226 0.452 0.226 Tc
0.774 0.548 0.774 Tc
0.000 0.000 0.500 Ta
0.500 0.000 0.000 As
```

Summary:
Density of states at the Fermi level (states/eV per atom): 0.711
Crystal system: orthorhombic
Electronic total energy (eV/atom): -39.35



One value per record, in order, for volume: 124 63 50 141 86 47 54 118 113 77 54 37 49 105 112 130 72 54 69 100 64 105 99 79 31 107 59 Å³/f.u..